First-principles (PBEsol) data for an optimized crystal structure of Na3Ce2C4O12F, as listed in Alexandria via LeMat-Bulk.

Output
- Fermi-level density of states: 0.7735 states/eV/atom
- Crystal system: hexagonal
- E_form (uncorrected): -46.85 eV/f.u.
- Total energy: -335.471 eV per cell
- SG: No. 194

a = 5.061 Å, b = 5.061 Å, c = 22.488 Å
α = 90.00°, β = 90.00°, γ = 120.00°
Each line ends with the local moment (μB).
Element x y z (fractional)
O  0.148  0.852  0.562  0.00
O  0.295  0.148  0.062  0.00
O  0.628  0.814  0.174  0.00
O  0.852  0.705  0.438  0.00
O  0.705  0.852  0.562  0.00
O  0.186  0.814  0.326  0.00
O  0.852  0.148  0.438  0.00
O  0.186  0.372  0.174  0.00
O  0.852  0.705  0.062  0.00
O  0.372  0.186  0.674  0.00
O  0.372  0.186  0.826  0.00
O  0.148  0.295  0.938  0.00
O  0.814  0.186  0.674  0.00
O  0.852  0.148  0.062  0.00
O  0.814  0.628  0.674  0.00
O  0.186  0.814  0.174  0.00
O  0.814  0.186  0.826  0.00
O  0.628  0.814  0.326  0.00
O  0.705  0.852  0.938  0.00
O  0.814  0.628  0.826  0.00
O  0.186  0.372  0.326  0.00
O  0.148  0.295  0.562  0.00
O  0.295  0.148  0.438  0.00
O  0.148  0.852  0.938  0.00
Ce  0.333  0.667  0.645  0.98
Ce  0.333  0.667  0.855  0.98
Ce  0.667  0.333  0.145  0.98
Ce  0.667  0.333  0.355  0.98
C  0.667  0.333  0.676  0.00
C  0.000  0.000  0.937  0.00
C  0.333  0.667  0.176  0.00
C  0.000  0.000  0.437  0.00
C  0.333  0.667  0.324  0.00
C  0.667  0.333  0.824  0.00
C  0.000  0.000  0.063  0.00
C  0.000  0.000  0.563  0.00
Na  0.000  0.000  0.750  0.00
Na  0.000  0.000  0.250  0.00
Na  0.667  0.333  0.975  0.00
Na  0.333  0.667  0.475  0.00
Na  0.667  0.333  0.525  0.00
Na  0.333  0.667  0.025  0.00
F  0.333  0.667  0.750  -0.01
F  0.667  0.333  0.250  -0.01